Density functional theory data (PBE) for an optimized crystal structure of BaSiRu.

a = 4.7660 Å, b = 4.7660 Å, c = 4.7660 Å
α = 60.00°, β = 60.00°, γ = 60.00°
Closest atoms and distances in Å follow each position.
Fractional positions:
Ba 0.0000 0.0000 0.0000  4 Si 2.92
Si 0.2500 0.2500 0.2500  4 Ru 2.92, 4 Ba 2.92
Ru 0.5000 0.5000 0.5000  4 Si 2.92

Results
crystal system	cubic
calculated total energy	-0.1774	Ha/atom
density of states at the Fermi level	2.69	states/eV/f.u.